# GGA-PBE V2OsPdC, relaxed
data_V2OsPdC
_chemical_formula_sum 'V2 Os1 Pd1 C1'
_cell_length_a 4.778
_cell_length_b 4.778
_cell_length_c 3.825
_cell_angle_alpha 90.00
_cell_angle_beta 90.00
_cell_angle_gamma 90.00
_symmetry_space_group_name_H-M 'P 4/m m m'
_symmetry_Int_Tables_number 123
_symmetry_space_group_name_Hall '-P 4 2'
loop_
_atom_site_label
_atom_site_type_symbol
_atom_site_fract_x
_atom_site_fract_y
_atom_site_fract_z
_atom_site_occupancy
V1 V 0.000 0.500 0.000 1
Os1 Os 0.000 0.000 0.000 1
Pd1 Pd 0.500 0.500 0.500 1
C1 C 0.000 0.000 0.500 1
# * ΔE_f: 114.57 kJ per mole of atoms
# * uncorrected energy: -7.5893 eV/atom